The following is a DFT calculation (PBE) of crystalline NaYNiTe3 at its relaxed geometry.

Cell and atoms, written as extended XYZ:
```
24
Lattice="-7.173 7.362 6.543 0.902 -2.232 3.499 9.673 7.430 2.245" Properties=species:S:1:pos:R:3 pbc="T T T"
Te 2.087 12.369 9.928
Te -2.311 9.791 6.840
Te 1.277 3.309 4.359
Te 6.301 7.485 3.149
Te -0.331 6.824 4.437
Te 5.108 10.202 7.767
Te -2.157 3.474 2.771
Te 5.263 3.885 3.699
Te 3.282 6.852 6.101
Te 1.675 10.366 6.179
Te -3.350 6.191 7.389
Te 0.865 1.307 0.611
Ni 0.364 3.318 2.022
Ni 2.587 10.358 8.516
Ni 5.452 6.122 5.077
Ni -2.500 7.553 5.461
Na 2.822 5.951 3.068
Na 3.885 13.203 7.419
Na 0.130 7.725 7.470
Na -0.933 0.473 3.119
Y 3.119 1.421 2.680
Y -1.510 4.301 5.709
Y -0.168 12.255 7.859
Y 4.462 9.375 4.829
```

Output
Energy above the lowest structure with this stoichiometry, eV/atom: 0.0477
Total DFT energy (no corrections), eV/atom: -4.59
Volume, A^3/atom: 26.74
Spin magnetization, μB per cell: 0.0

=====

The following is a DFT calculation (PBE) of crystalline MgGaCuMo at its relaxed geometry.

Cell and atoms, written as extended XYZ:
```
4
Lattice="0.000 3.118 3.118 3.118 0.000 3.118 3.118 3.118 0.000" Properties=species:S:1:pos:R:3 pbc="T T T"
Ga 0.000 0.000 0.000
Mo 1.559 1.559 1.559
Cu 4.677 4.677 4.677
Mg 3.118 3.118 3.118
```

Output
Energy above the lowest structure with this stoichiometry, eV/atom: 0.0000
Total DFT energy (no corrections), eV/atom: -4.52
Volume, A^3/atom: 15.15
Spin magnetization, μB per cell: 1.3

=====

The following is a DFT calculation (PBE) of crystalline Dy3Er4Ni2S2 at its relaxed geometry.

Cell and atoms, written as extended XYZ:
```
11
Lattice="-7.497 -3.948 2.616 4.522 4.792 5.935 -5.680 -1.312 -6.682" Properties=species:S:1:pos:R:3 pbc="T T T"
Dy -5.146 -0.244 -2.531
Dy -3.039 -0.358 3.048
Dy -1.079 1.881 1.063
Er -8.955 -3.037 -0.258
Er -2.597 -0.919 -0.251
Er -5.796 -1.776 0.717
Er -10.926 -4.244 -2.821
Ni -4.511 0.685 0.812
Ni 1.845 3.222 2.773
S -6.632 -2.618 -1.907
S -2.732 0.775 7.852
```

Output
Total DFT energy (no corrections), eV/atom: -5.53
Volume, A^3/atom: 22.83
Spin magnetization, μB per cell: 0.0